Record 1
Here is a relaxed structure of Rb3Cd8Sn3 from the Alexandria database. Energies are from PBE-GGA.

Lattice parameters (Å, degrees): 5.153 9.666 9.666 69.22 74.54 74.54
Atoms (fractional coordinates):
Rb1 0.500 0.500 0.500
Rb2 0.804 0.196 0.196
Rb3 0.196 0.804 0.804
Cd1 0.637 0.081 0.646
Cd2 0.363 0.919 0.354
Cd3 0.637 0.646 0.081
Cd4 0.363 0.354 0.919
Cd5 0.833 0.805 0.529
Cd6 0.167 0.195 0.471
Cd7 0.833 0.529 0.805
Cd8 0.167 0.471 0.195
Sn1 0.500 0.000 0.000
Sn2 0.000 0.796 0.204
Sn3 0.000 0.204 0.796

Output
ΔH_f (0 K) = -77.2 meV/atom
Uncorrected energy = -23.31 eV for the cell shown
Energy above the lowest structure with this stoichiometry = 14 meV per atom
V = 30.421 A^3/atom
ρ = 5.89 Mg/m³
Symmetry = Immm (71)

=====

Record 2
Here is a relaxed structure of Sr3RhSe from the Alexandria database. Energies are from PBE-GGA.

Lattice parameters (Å, degrees): 5.668 5.668 5.668 90.00 90.00 90.00
Atoms (fractional coordinates):
Sr1 0.000 0.500 0.000
Sr2 0.000 0.000 0.500
Sr3 0.500 0.000 0.000
Rh1 0.000 0.000 0.000
Se1 0.500 0.500 0.500

Output
Uncorrected energy = -18.50 eV for the cell shown
Energy above the lowest structure with this stoichiometry = 0 meV per atom
V = 36.417 A^3/atom
ρ = 4.06 Mg/m³
Symmetry = Pm-3m (221)

=====

Record 3
Here is a relaxed structure of Na2HgSb2 from the Alexandria database. Energies are from PBE-GGA.

Lattice parameters (Å, degrees): 5.995 5.995 6.444 62.28 62.28 90.00
Atoms (fractional coordinates):
Sb1 0.360 0.360 0.281
Sb2 0.640 0.640 0.719
Hg1 0.000 0.000 0.000
Na1 0.750 0.250 0.500
Na2 0.250 0.750 0.500

Output
Uncorrected energy = -11.56 eV for the cell shown
Energy above the lowest structure with this stoichiometry = 183 meV per atom
V = 34.886 A^3/atom
ρ = 4.67 Mg/m³
Symmetry = I4/mmm (139)

=====

Record 4
Here is a relaxed structure of CsBi3Au from the Alexandria database. Energies are from PBE-GGA.

Lattice parameters (Å, degrees): 5.775 5.775 5.775 90.00 90.00 90.00
Atoms (fractional coordinates):
Cs1 0.500 0.500 0.500
Au1 0.000 0.000 0.000
Bi1 0.000 0.500 0.000
Bi2 0.000 0.000 0.500
Bi3 0.500 0.000 0.000

Output
ΔH_f (0 K) = 104.9 meV/atom
Uncorrected energy = -15.25 eV for the cell shown
Energy above the lowest structure with this stoichiometry = 272 meV per atom
V = 38.511 A^3/atom
ρ = 8.25 Mg/m³
Symmetry = Pm-3m (221)

=====

Record 5
Here is a relaxed structure of V7ReB5 from the Alexandria database. Energies are from PBE-GGA.

Lattice parameters (Å, degrees): 4.801 5.877 5.877 82.78 65.89 65.89
Atoms (fractional coordinates):
V1 0.726 0.274 0.274
V2 0.394 0.606 0.606
V3 0.955 0.365 0.725
V4 0.955 0.725 0.365
V5 0.230 0.270 0.270
V6 0.507 0.811 0.175
V7 0.507 0.175 0.811
Re1 0.067 0.933 0.933
B1 0.414 0.999 0.538
B2 0.050 0.999 0.538
B3 0.414 0.538 0.999
B4 0.050 0.538 0.999
B5 0.731 0.769 0.769

Output
ΔH_f (0 K) = -160.1 meV/atom
Uncorrected energy = -111.75 eV for the cell shown
V = 10.616 A^3/atom
ρ = 7.18 Mg/m³
Symmetry = Imm2 (44)

=====

Record 6
Here is a relaxed structure of Mg4ZnPd3 from the Alexandria database. Energies are from PBE-GGA.

Lattice parameters (Å, degrees): 3.219 3.219 12.768 90.00 90.00 90.00
Atoms (fractional coordinates):
Mg1 0.000 0.000 0.865
Mg2 0.000 0.000 0.135
Mg3 0.000 0.000 0.378
Mg4 0.000 0.000 0.622
Zn1 0.500 0.500 0.000
Pd1 0.500 0.500 0.254
Pd2 0.500 0.500 0.500
Pd3 0.500 0.500 0.746

Output
ΔH_f (0 K) = -592.1 meV/atom
Uncorrected energy = -27.97 eV for the cell shown
V = 16.535 A^3/atom
ρ = 6.05 Mg/m³
Symmetry = P4/mmm (123)